[1]
Entry from the Alexandria database: NdHo6Er2Tm after structural relaxation (GGA-PBE).

Unit cell a=8.737 b=8.737 c=9.426 alpha=93.31 beta=93.31 gamma=117.57
Positions (direct):
Nd  0.027  0.973  0.750
Nd  0.973  0.027  0.250
Ho  0.015  0.564  0.683
Ho  0.125  0.753  0.057
Ho  0.247  0.875  0.443
Ho  0.291  0.510  0.883
Ho  0.436  0.985  0.817
Ho  0.490  0.709  0.617
Ho  0.510  0.291  0.383
Ho  0.564  0.015  0.183
Ho  0.709  0.490  0.117
Ho  0.753  0.125  0.557
Ho  0.875  0.247  0.943
Ho  0.985  0.436  0.317
Er  0.200  0.307  0.548
Er  0.307  0.200  0.048
Er  0.693  0.800  0.952
Er  0.800  0.693  0.452
Tm  0.411  0.589  0.250
Tm  0.589  0.411  0.750

Values from the calculation:
**Electronic total energy**: -4.462 eV per atom
**Calculated formation energy**: 0.121 eV per atom
**SG**: C2/c, No. 15
**Crystal system**: monoclinic

[2]
Entry from the Alexandria database: Fe2SbOs after structural relaxation (GGA-PBE).

Unit cell a=3.145 b=4.326 c=8.730 alpha=90.00 beta=90.00 gamma=90.00
Positions (direct):
Fe  0.000  0.000  0.249
Fe  0.000  0.000  0.751
Fe  0.500  0.500  0.251
Fe  0.500  0.500  0.749
Sb  0.000  0.500  0.500
Sb  0.500  0.000  0.000
Os  0.000  0.500  0.000
Os  0.500  0.000  0.500

Values from the calculation:
**Electronic total energy**: -7.677 eV per atom
**Energy relative to the elements, uncorrected**: 1.569 eV/f.u.
**SG**: Immm, No. 71
**Crystal system**: orthorhombic

[3]
Entry from the Alexandria database: Y2PbI after structural relaxation (GGA-PBE).

Unit cell a=6.768 b=6.768 c=14.798 alpha=90.00 beta=90.00 gamma=90.00
Positions (direct):
Y  0.229  0.250  0.125
Y  0.250  0.729  0.375
Y  0.250  0.771  0.875
Y  0.271  0.250  0.625
Y  0.729  0.750  0.625
Y  0.750  0.229  0.875
Y  0.750  0.271  0.375
Y  0.771  0.750  0.125
Pb  0.000  0.000  0.000
Pb  0.000  0.500  0.250
Pb  0.500  0.000  0.750
Pb  0.500  0.500  0.500
I  0.000  0.000  0.500
I  0.000  0.500  0.750
I  0.500  0.000  0.250
I  0.500  0.500  0.000

Values from the calculation:
**Electronic total energy**: -4.706 eV per atom
**Energy relative to the elements, uncorrected**: -0.638 eV/f.u.
**Energy above the most stable polymorph in this dataset**: 453.4 meV per atom
**SG**: I-42d, No. 122
**Crystal system**: tetragonal

[4]
Entry from the Alexandria database: CsTlFe2Br8 after structural relaxation (GGA-PBE).

Unit cell a=6.972 b=6.972 c=11.425 alpha=95.08 beta=95.08 gamma=69.00
Positions (direct):
Cs  0.000  0.000  0.000
Tl  0.000  0.000  0.500
Fe  0.419  0.419  0.735
Fe  0.581  0.581  0.265
Br  0.216  0.701  0.264
Br  0.294  0.294  0.559
Br  0.299  0.784  0.736
Br  0.324  0.324  0.907
Br  0.676  0.676  0.093
Br  0.701  0.216  0.264
Br  0.706  0.706  0.441
Br  0.784  0.299  0.736

Values from the calculation:
**Electronic total energy**: -3.602 eV per atom
**Energy relative to the elements, uncorrected**: -9.701 eV/f.u.
**SG**: C2/m, No. 12
**Crystal system**: monoclinic

[5]
Entry from the Alexandria database: CdCo2Ir after structural relaxation (GGA-PBE).

Unit cell a=6.126 b=6.126 c=6.126 alpha=90.00 beta=90.00 gamma=90.00
Positions (direct):
Cd  0.000  0.000  0.000
Cd  0.000  0.500  0.500
Cd  0.500  0.000  0.500
Cd  0.500  0.500  0.000
Co  0.000  0.000  0.500
Co  0.000  0.500  0.000
Co  0.250  0.250  0.750
Co  0.250  0.750  0.250
Co  0.500  0.000  0.000
Co  0.500  0.500  0.500
Co  0.750  0.250  0.250
Co  0.750  0.750  0.750
Ir  0.250  0.250  0.250
Ir  0.250  0.750  0.750
Ir  0.750  0.250  0.750
Ir  0.750  0.750  0.250

Values from the calculation:
**Electronic total energy**: -5.612 eV per atom
**Calculated formation energy**: 0.384 eV per atom
**SG**: F-43m, No. 216
**Crystal system**: cubic

[6]
Entry from the Alexandria database: Zn5Ga12Au3 after structural relaxation (GGA-PBE).

Unit cell a=13.070 b=13.070 c=13.070 alpha=109.47 beta=109.47 gamma=109.47
Positions (direct):
Zn  0.000  0.000  0.000
Zn  0.000  0.000  0.500
Zn  0.000  0.500  0.000
Zn  0.000  0.500  0.500
Zn  0.125  0.750  0.875
Zn  0.125  0.875  0.250
Zn  0.250  0.125  0.875
Zn  0.250  0.625  0.375
Zn  0.375  0.250  0.625
Zn  0.375  0.625  0.750
Zn  0.500  0.000  0.000
Zn  0.500  0.000  0.500
Zn  0.500  0.500  0.000
Zn  0.500  0.500  0.500
Zn  0.625  0.375  0.250
Zn  0.625  0.750  0.375
Zn  0.750  0.375  0.625
Zn  0.750  0.875  0.125
Zn  0.875  0.125  0.750
Zn  0.875  0.250  0.125
Ga  0.064  0.229  0.140
Ga  0.064  0.335  0.923
Ga  0.077  0.640  0.411
Ga  0.077  0.936  0.665
Ga  0.089  0.729  0.665
Ga  0.089  0.860  0.423
Ga  0.140  0.064  0.229
Ga  0.140  0.577  0.911
Ga  0.165  0.229  0.589
Ga  0.165  0.436  0.577
Ga  0.229  0.140  0.064
Ga  0.229  0.589  0.165
Ga  0.271  0.335  0.911
Ga  0.271  0.436  0.360
Ga  0.335  0.911  0.271
Ga  0.335  0.923  0.064
Ga  0.360  0.271  0.436
Ga  0.360  0.589  0.923
Ga  0.411  0.077  0.640
Ga  0.411  0.835  0.771
Ga  0.423  0.089  0.860
Ga  0.423  0.835  0.564
Ga  0.436  0.360  0.271
Ga  0.436  0.577  0.165
Ga  0.564  0.423  0.835
Ga  0.564  0.640  0.729
Ga  0.577  0.165  0.436
Ga  0.577  0.911  0.140
Ga  0.589  0.165  0.229
Ga  0.589  0.923  0.360
Ga  0.640  0.411  0.077
Ga  0.640  0.729  0.564
Ga  0.665  0.077  0.936
Ga  0.665  0.089  0.729
Ga  0.729  0.564  0.640
Ga  0.729  0.665  0.089
Ga  0.771  0.411  0.835
Ga  0.771  0.860  0.936
Ga  0.835  0.564  0.423
Ga  0.835  0.771  0.411
Ga  0.860  0.423  0.089
Ga  0.860  0.936  0.771
Ga  0.911  0.140  0.577
Ga  0.911  0.271  0.335
Ga  0.923  0.064  0.335
Ga  0.923  0.360  0.589
Ga  0.936  0.665  0.077
Ga  0.936  0.771  0.860
Au  0.125  0.250  0.375
Au  0.125  0.375  0.750
Au  0.250  0.375  0.125
Au  0.250  0.875  0.625
Au  0.375  0.125  0.250
Au  0.375  0.750  0.125
Au  0.625  0.250  0.875
Au  0.625  0.875  0.750
Au  0.750  0.125  0.375
Au  0.750  0.625  0.875
Au  0.875  0.625  0.250
Au  0.875  0.750  0.625

Values from the calculation:
**Electronic total energy**: -2.566 eV per atom
**Calculated formation energy**: 0.060 eV per atom
**SG**: Ia-3d, No. 230
**Crystal system**: cubic

[7]
Entry from the Alexandria database: KBa3In2 after structural relaxation (GGA-PBE).

Unit cell a=4.331 b=4.331 c=15.361 alpha=90.00 beta=90.00 gamma=90.00
Positions (direct):
K  0.000  0.000  0.000
Ba  0.500  0.500  0.235
Ba  0.500  0.500  0.500
Ba  0.500  0.500  0.765
In  0.000  0.000  0.362
In  0.000  0.000  0.638

Values from the calculation:
**Electronic total energy**: -2.335 eV per atom
**Calculated formation energy**: -0.278 eV per atom
**SG**: P4/mmm, No. 123
**Crystal system**: tetragonal

[8]
Entry from the Alexandria database: CoSbMo2 after structural relaxation (GGA-PBE).

Unit cell a=3.022 b=3.022 c=6.934 alpha=90.00 beta=90.00 gamma=90.00
Positions (direct):
Co  0.000  0.000  0.000
Sb  0.000  0.000  0.500
Mo  0.500  0.500  0.223
Mo  0.500  0.500  0.777

Values from the calculation:
**Electronic total energy**: -7.834 eV per atom
**Energy relative to the elements, uncorrected**: 1.556 eV/f.u.
**SG**: P4/mmm, No. 123
**Crystal system**: tetragonal

[9]
Entry from the Alexandria database: Ac2PmSm2 after structural relaxation (GGA-PBE).

Unit cell a=9.623 b=9.623 c=6.581 alpha=106.72 beta=106.72 gamma=41.57
Positions (direct):
Ac  0.047  0.337  0.194
Ac  0.337  0.047  0.694
Ac  0.663  0.953  0.306
Ac  0.953  0.663  0.806
Pm  0.077  0.923  0.750
Pm  0.923  0.077  0.250
Sm  0.294  0.530  0.343
Sm  0.470  0.706  0.157
Sm  0.530  0.294  0.843
Sm  0.706  0.470  0.657

Values from the calculation:
**Electronic total energy**: -4.400 eV per atom
**Calculated formation energy**: 0.081 eV per atom
**Energy above the most stable polymorph in this dataset**: 0.0 meV per atom
**SG**: C2/c, No. 15
**Crystal system**: monoclinic

[10]
Entry from the Alexandria database: Er2TiZn2Pd5 after structural relaxation (GGA-PBE).

Unit cell a=9.697 b=9.697 c=3.724 alpha=90.00 beta=90.00 gamma=90.00
Positions (direct):
Er  0.175  0.325  0.000
Er  0.325  0.825  0.000
Er  0.675  0.175  0.000
Er  0.825  0.675  0.000
Ti  0.000  0.000  0.000
Ti  0.500  0.500  0.000
Zn  0.124  0.624  0.000
Zn  0.376  0.124  0.000
Zn  0.624  0.876  0.000
Zn  0.876  0.376  0.000
Pd  0.000  0.500  0.500
Pd  0.064  0.800  0.500
Pd  0.200  0.064  0.500
Pd  0.300  0.564  0.500
Pd  0.436  0.300  0.500
Pd  0.500  0.000  0.500
Pd  0.564  0.700  0.500
Pd  0.700  0.436  0.500
Pd  0.800  0.936  0.500
Pd  0.936  0.200  0.500

Values from the calculation:
**Electronic total energy**: -5.247 eV per atom
**Calculated formation energy**: -0.694 eV per atom
**SG**: P4/mbm, No. 127
**Crystal system**: tetragonal

[11]
Entry from the Alexandria database: VCu3Pt after structural relaxation (GGA-PBE).

Unit cell a=4.406 b=4.406 c=4.406 alpha=90.00 beta=90.00 gamma=90.00
Positions (direct):
V  0.000  0.000  0.000
Cu  0.000  0.000  0.500
Cu  0.000  0.500  0.000
Cu  0.500  0.000  0.000
Pt  0.500  0.500  0.500

Values from the calculation:
**Electronic total energy**: -4.107 eV per atom
**Calculated formation energy**: 1.383 eV per atom
**Energy above the most stable polymorph in this dataset**: 339.2 meV per atom
**SG**: Pm-3m, No. 221
**Crystal system**: cubic

[12]
Entry from the Alexandria database: RbCeAu10 after structural relaxation (GGA-PBE).

Unit cell a=4.650 b=5.737 c=10.017 alpha=90.00 beta=90.00 gamma=90.00
Positions (direct):
Rb  0.000  0.000  0.000
Ce  0.000  0.500  0.500
Au  0.000  0.000  0.340
Au  0.000  0.000  0.660
Au  0.000  0.500  0.178
Au  0.000  0.500  0.822
Au  0.500  0.000  0.500
Au  0.500  0.257  0.260
Au  0.500  0.257  0.740
Au  0.500  0.500  0.000
Au  0.500  0.743  0.260
Au  0.500  0.743  0.740

Values from the calculation:
**Electronic total energy**: -3.562 eV per atom
**Calculated formation energy**: -0.256 eV per atom
**SG**: Pmmm, No. 47
**Crystal system**: orthorhombic

[13]
Entry from the Alexandria database: Na3BeAlSi2O8 after structural relaxation (GGA-PBE).

Unit cell a=6.926 b=7.262 c=7.383 alpha=90.00 beta=90.00 gamma=90.00
Positions (direct):
Na  0.000  0.000  0.034
Na  0.248  0.213  0.676
Na  0.252  0.713  0.324
Na  0.500  0.500  0.966
Na  0.748  0.287  0.324
Na  0.752  0.787  0.676
Be  0.000  0.000  0.434
Be  0.500  0.500  0.566
Al  0.000  0.500  0.967
Al  0.500  0.000  0.033
Si  0.235  0.800  0.740
Si  0.265  0.300  0.260
Si  0.735  0.700  0.260
Si  0.765  0.200  0.740
O  0.045  0.696  0.831
O  0.084  0.162  0.295
O  0.171  0.912  0.559
O  0.203  0.458  0.106
O  0.297  0.958  0.894
O  0.329  0.412  0.441
O  0.416  0.662  0.705
O  0.455  0.196  0.169
O  0.545  0.804  0.169
O  0.584  0.338  0.705
O  0.671  0.588  0.441
O  0.703  0.042  0.894
O  0.797  0.542  0.106
O  0.829  0.088  0.559
O  0.916  0.838  0.295
O  0.955  0.304  0.831

Values from the calculation:
**Electronic total energy**: -6.739 eV per atom
**Energy relative to the elements, uncorrected**: -39.146 eV/f.u.
**SG**: P2_12_12, No. 18
**Crystal system**: orthorhombic